# 1
{
  "formula": "Sm2In9Pb",
  "functional": "GGA-PBE",
  "state": "relaxed",
  "space_group": "No. 123",
  "final_energy_ev_per_cell": -40.855,
  "lattice_angstrom": [[4.714, 0.000, 0.000], [0.000, 4.714, 0.000], [0.000, 0.000, 14.383]],
  "species": ["Sm", "Sm", "In", "In", "In", "In", "In", "In", "In", "In", "In", "Pb"],
  "fractional_positions": [[0.000, 0.000, 0.162], [0.000, 0.000, 0.838], [0.000, 0.500, 0.000], [0.000, 0.500, 0.329], [0.000, 0.500, 0.671], [0.500, 0.000, 0.000], [0.500, 0.000, 0.329], [0.500, 0.000, 0.671], [0.500, 0.500, 0.162], [0.500, 0.500, 0.500], [0.500, 0.500, 0.838], [0.000, 0.000, 0.500]]
}

---

# 2
{
  "formula": "Sm6In2Pb",
  "functional": "GGA-PBE",
  "state": "relaxed",
  "space_group": "No. 136",
  "final_energy_ev_per_cell": -80.497,
  "lattice_angstrom": [[10.361, 0.000, 0.000], [0.000, 10.361, 0.000], [0.000, 0.000, 5.162]],
  "species": ["Sm", "Sm", "Sm", "Sm", "Sm", "Sm", "Sm", "Sm", "Sm", "Sm", "Sm", "Sm", "In", "In", "In", "In", "Pb", "Pb"],
  "fractional_positions": [[0.016, 0.324, 0.000], [0.131, 0.869, 0.500], [0.176, 0.516, 0.500], [0.324, 0.016, 0.000], [0.369, 0.369, 0.000], [0.484, 0.824, 0.500], [0.516, 0.176, 0.500], [0.631, 0.631, 0.000], [0.676, 0.984, 0.000], [0.824, 0.484, 0.500], [0.869, 0.131, 0.500], [0.984, 0.676, 0.000], [0.199, 0.199, 0.500], [0.301, 0.699, 0.000], [0.699, 0.301, 0.000], [0.801, 0.801, 0.500], [0.000, 0.000, 0.000], [0.500, 0.500, 0.500]]
}

---

# 3
{
  "formula": "SmInPb2",
  "functional": "GGA-PBE",
  "state": "relaxed",
  "space_group": "No. 166",
  "final_energy_ev_per_cell": -14.490,
  "lattice_angstrom": [[1.757, 1.014, 11.943], [-1.757, 1.014, 11.943], [0.000, -2.029, 11.943]],
  "species": ["Sm", "In", "Pb", "Pb"],
  "fractional_positions": [[0.000, 0.000, 0.000], [0.500, 0.500, 0.500], [0.090, 0.090, 0.090], [0.910, 0.910, 0.910]]
}

---

# 4
{
  "formula": "Sm12In5Pb2",
  "functional": "GGA-PBE",
  "state": "relaxed",
  "space_group": "No. 12",
  "final_energy_ev_per_cell": -81.460,
  "lattice_angstrom": [[9.321, -3.492, 0.000], [9.321, 3.492, 0.000], [-0.127, 0.000, 9.389]],
  "species": ["Sm", "Sm", "Sm", "Sm", "Sm", "Sm", "Sm", "Sm", "Sm", "Sm", "Sm", "Sm", "In", "In", "In", "In", "In", "Pb", "Pb"],
  "fractional_positions": [[0.017, 0.017, 0.311], [0.084, 0.584, 0.063], [0.102, 0.598, 0.470], [0.402, 0.898, 0.530], [0.416, 0.916, 0.937], [0.430, 0.430, 0.787], [0.570, 0.570, 0.213], [0.584, 0.084, 0.063], [0.598, 0.102, 0.470], [0.898, 0.402, 0.530], [0.916, 0.416, 0.937], [0.983, 0.983, 0.689], [0.208, 0.208, 0.250], [0.265, 0.265, 0.733], [0.500, 0.500, 0.500], [0.735, 0.735, 0.267], [0.792, 0.792, 0.750], [0.216, 0.784, 0.000], [0.784, 0.216, 0.000]]
}

---

# 5
{
  "formula": "Sm2InPb3",
  "functional": "GGA-PBE",
  "state": "relaxed",
  "space_group": "No. 65",
  "polymorph_energy_kj_per_mol_fu": 0,
  "final_energy_ev_per_cell": -26.032,
  "lattice_angstrom": [[2.305, -7.860, 0.000], [2.305, 7.860, 0.000], [0.000, 0.000, 4.751]],
  "species": ["Sm", "Sm", "In", "Pb", "Pb", "Pb"],
  "fractional_positions": [[0.149, 0.851, 0.000], [0.851, 0.149, 0.000], [0.000, 0.000, 0.500], [0.326, 0.674, 0.500], [0.500, 0.500, 0.000], [0.674, 0.326, 0.500]]
}

---

# 6
{
  "formula": "Sm5InPb2",
  "functional": "GGA-PBE",
  "state": "relaxed",
  "space_group": "No. 140",
  "polymorph_energy_kj_per_mol_fu": 0,
  "final_energy_ev_per_cell": -74.326,
  "lattice_angstrom": [[-4.198, 4.198, 7.117], [4.198, -4.198, 7.117], [4.198, 4.198, -7.117]],
  "species": ["Sm", "Sm", "Sm", "Sm", "Sm", "Sm", "Sm", "Sm", "Sm", "Sm", "In", "In", "Pb", "Pb", "Pb", "Pb"],
  "fractional_positions": [[0.000, 0.000, 0.000], [0.010, 0.510, 0.821], [0.188, 0.010, 0.500], [0.312, 0.812, 0.821], [0.490, 0.312, 0.500], [0.500, 0.500, 0.000], [0.510, 0.688, 0.500], [0.688, 0.188, 0.179], [0.812, 0.990, 0.500], [0.990, 0.490, 0.179], [0.250, 0.250, 0.000], [0.750, 0.750, 0.000], [0.141, 0.359, 0.500], [0.359, 0.859, 0.218], [0.641, 0.141, 0.782], [0.859, 0.641, 0.500]]
}

---

# 7
{
  "formula": "SmInPb2",
  "functional": "GGA-PBE",
  "state": "relaxed",
  "space_group": "No. 123",
  "final_energy_ev_per_cell": -15.798,
  "lattice_angstrom": [[4.134, 0.000, 0.000], [0.000, 4.134, 0.000], [0.000, 0.000, 6.830]],
  "species": ["Sm", "In", "Pb", "Pb"],
  "fractional_positions": [[0.000, 0.000, 0.000], [0.000, 0.000, 0.500], [0.500, 0.500, 0.258], [0.500, 0.500, 0.742]]
}

---

# 8
{
  "formula": "SmInSnPb",
  "functional": "GGA-PBE",
  "state": "relaxed",
  "space_group": "No. 47",
  "final_energy_ev_per_cell": -16.857,
  "lattice_angstrom": [[4.760, 0.000, 0.000], [0.000, 4.787, 0.000], [0.000, 0.000, 4.814]],
  "species": ["Sm", "In", "Sn", "Pb"],
  "fractional_positions": [[0.000, 0.000, 0.000], [0.500, 0.500, 0.000], [0.500, 0.000, 0.500], [0.000, 0.500, 0.500]]
}